(1)
## PmAlIn2O6 (GGA-PBE)

Data for PmAlIn2O6 after structural relaxation.

Lattice parameters (Å, degrees): 5.4969 5.4968 5.8328 61.89 61.89 60.00
Last column: nearest neighbours and their distance in Å.
Atoms (fractional coordinates):
Pm1 0.8009 0.8009 0.5972  6 O 2.26-2.51
Al1 0.3207 0.3207 0.0380  6 O 1.97-1.99
In1 0.5305 0.5305 0.4087  6 O 2.17-2.33
In2 0.0180 0.0180 0.9461  6 O 2.13-2.29
O1 0.5794 0.2280 0.2364  1 Al 1.97, 1 In 2.17
O2 0.2280 0.9562 0.2364  1 Al 1.97, 1 In 2.17
O3 0.9562 0.5794 0.2364  1 Al 1.97, 1 In 2.17
O4 0.3916 0.6906 0.7720  1 Al 1.99, 1 In 2.13
O5 0.6906 0.1458 0.7720  1 Al 1.99, 1 In 2.13
O6 0.1458 0.3915 0.7720  1 Al 1.99, 1 In 2.13

The space group is R3 (146). The total magnetization comes out at 0.000 μB/cell. The raw formation energy is -2286 meV/atom. The calculation puts the total energy at -6.658 eV/atom.

***

(2)
## HfTlS2 (GGA-PBE)

Data for HfTlS2 after structural relaxation.

Lattice parameters (Å, degrees): 8.6922 3.5078 14.6373 90.00 90.00 90.00
Last column: nearest neighbours and their distance in Å.
Atoms (fractional coordinates):
Tl1 0.0415 0.2500 0.6185  3 S 3.04-3.36
Tl2 0.4585 0.7500 0.1185  3 S 3.04-3.36
Tl3 0.9585 0.7500 0.3815  3 S 3.04-3.36
Tl4 0.5415 0.2500 0.8815  3 S 3.04-3.36
Hf1 0.5234 0.2500 0.4029  5 S 2.47-2.57
Hf2 0.9766 0.7500 0.9029  5 S 2.47-2.57
Hf3 0.4766 0.7500 0.5971  5 S 2.47-2.57
Hf4 0.0234 0.2500 0.0971  5 S 2.47-2.57
S1 0.6744 0.2500 0.5459  3 Hf 2.47-2.57
S2 0.8256 0.7500 0.0459  3 Hf 2.47-2.57
S3 0.3256 0.7500 0.4541  3 Hf 2.47-2.57
S4 0.1744 0.2500 0.9541  3 Hf 2.47-2.57
S5 0.3699 0.2500 0.7007  2 Hf 2.50
S6 0.1301 0.7500 0.2007  2 Hf 2.50
S7 0.6301 0.7500 0.2993  2 Hf 2.50
S8 0.8699 0.2500 0.7993  2 Hf 2.50

The space group is Pnma (62). The total magnetization comes out at 1.237 μB/cell. The raw formation energy is -994 meV/atom. The calculation puts the total energy at -6.138 eV/atom.

***

(3)
## PaRuN2 (GGA-PBE)

Data for PaRuN2 after structural relaxation.

Lattice parameters (Å, degrees): 3.4924 3.4924 5.0753 69.88 69.88 60.00
Last column: nearest neighbours and their distance in Å.
Atoms (fractional coordinates):
Ru1 0.5000 0.5000 0.5000  6 N 2.27
Pa1 0.0000 0.0000 0.0000  6 N 2.39
N1 0.2414 0.2414 0.2759  3 Ru 2.27, 3 Pa 2.39
N2 0.7586 0.7586 0.7241  3 Ru 2.27, 3 Pa 2.39

The space group is R-3m (166). The total magnetization comes out at 0.909 μB/cell. The raw formation energy is -708 meV/atom. The calculation puts the total energy at -9.564 eV/atom.

***

(4)
## CdPt5 (GGA-PBE)

Data for CdPt5 after structural relaxation.

Lattice parameters (Å, degrees): 5.2799 5.2799 5.2799 60.00 60.00 60.00
Last column: nearest neighbours and their distance in Å.
Atoms (fractional coordinates):
Cd1 0.0000 0.0000 0.0000  16 Pt 3.10-3.23
Pt1 0.8741 0.3753 0.3753  6 Pt 2.63-2.65
Pt2 0.7500 0.7500 0.7500  12 Pt 3.09, 4 Cd 3.23
Pt3 0.3753 0.8741 0.3753  6 Pt 2.63-2.65
Pt4 0.3753 0.3753 0.3753  6 Pt 2.63-2.65
Pt5 0.3753 0.3753 0.8741  6 Pt 2.63-2.65

The space group is F-43m (216). The energy of formation from the pure elements is 0.036 eV/atom. The total magnetization comes out at 0.000 μB/cell. The calculation puts the total energy at -5.151 eV/atom.

***

Number 1: ρ 6.45 g/cm3. Number 2: ρ 6.65 g/cm3. Number 3: ρ 12.16 g/cm3. Number 4: ρ 17.36 g/cm3.